# 1
{
  "formula": "Sr2Y2Rh",
  "functional": "PBE",
  "state": "relaxed",
  "lattice_angstrom": [[7.3364, 0.0000, 0.0000], [0.0000, 7.3364, 0.0000], [0.0000, 0.0000, 6.3772]],
  "species": ["Sr", "Sr", "Sr", "Sr", "Y", "Y", "Y", "Y", "Rh", "Rh"],
  "fractional_positions": [[0.1793, 0.3207, 0.0000], [0.3207, 0.8207, 0.0000], [0.6793, 0.1793, 0.0000], [0.8207, 0.6793, 0.0000], [0.1683, 0.6683, 0.5000], [0.3317, 0.1683, 0.5000], [0.6683, 0.8317, 0.5000], [0.8317, 0.3317, 0.5000], [0.0000, 0.0000, 0.5000], [0.5000, 0.5000, 0.5000]],
  "polymorph_energy_ev_per_atom": 0.000
}

***

# 2
{
  "formula": "Y2PuGa9",
  "functional": "PBE",
  "state": "relaxed",
  "lattice_angstrom": [[4.2760, 0.0000, 0.0000], [0.0000, 4.2760, 0.0000], [0.0000, 0.0000, 12.8527]],
  "species": ["Y", "Y", "Pu", "Ga", "Ga", "Ga", "Ga", "Ga", "Ga", "Ga", "Ga", "Ga"],
  "fractional_positions": [[0.0000, 0.0000, 0.1658], [0.0000, 0.0000, 0.8342], [0.0000, 0.0000, 0.5000], [0.0000, 0.5000, 0.0000], [0.0000, 0.5000, 0.3353], [0.0000, 0.5000, 0.6647], [0.5000, 0.0000, 0.0000], [0.5000, 0.0000, 0.3353], [0.5000, 0.0000, 0.6647], [0.5000, 0.5000, 0.1686], [0.5000, 0.5000, 0.5000], [0.5000, 0.5000, 0.8314]]
}

***

# 3
{
  "formula": "Sc2GaCu2",
  "functional": "PBE",
  "state": "relaxed",
  "lattice_angstrom": [[-2.5668, 2.5668, 3.5454], [2.5668, -2.5668, 3.5454], [2.5668, 2.5668, -3.5454]],
  "species": ["Sc", "Sc", "Ga", "Cu", "Cu"],
  "fractional_positions": [[0.2500, 0.7500, 0.5000], [0.7500, 0.2500, 0.5000], [0.0000, 0.0000, 0.0000], [0.3450, 0.3450, 0.0000], [0.6550, 0.6550, 0.0000]]
}

***

# 4
{
  "formula": "Sr2MgAs",
  "functional": "PBE",
  "state": "relaxed",
  "lattice_angstrom": [[-2.0139, 2.5682, 6.2878], [2.0139, -2.5682, 6.2878], [2.0139, 2.5682, -6.2878]],
  "species": ["Sr", "Sr", "Mg", "As"],
  "fractional_positions": [[0.0000, 0.0000, 0.0000], [0.7030, 0.2030, 0.5000], [0.3797, 0.3797, 0.0000], [0.2224, 0.7224, 0.5000]],
  "polymorph_energy_ev_per_atom": 0.121
}

***

# 5
{
  "formula": "BaIn2Cl",
  "functional": "PBE",
  "state": "relaxed",
  "lattice_angstrom": [[7.2061, -2.1815, 0.0000], [7.2061, 2.1815, 0.0000], [-0.8169, 0.0000, 4.3352]],
  "species": ["Ba", "In", "In", "Cl"],
  "fractional_positions": [[0.0000, 0.0000, 0.0000], [0.2517, 0.2517, 0.7558], [0.7483, 0.7483, 0.2442], [0.5000, 0.5000, 0.5000]],
  "e_form_raw_ev_per_fu": -3.413,
  "polymorph_energy_ev_per_atom": 0.003
}

***

# 6
{
  "formula": "LiCa3Te",
  "functional": "PBE",
  "state": "relaxed",
  "lattice_angstrom": [[5.9930, 0.0000, 0.0000], [0.0000, 5.9930, 0.0000], [0.0000, 0.0000, 5.9930]],
  "species": ["Li", "Ca", "Ca", "Ca", "Te"],
  "fractional_positions": [[0.0000, 0.0000, 0.0000], [0.0000, 0.5000, 0.5000], [0.5000, 0.0000, 0.5000], [0.5000, 0.5000, 0.0000], [0.5000, 0.5000, 0.5000]],
  "e_form_raw_ev_per_fu": -1.580,
  "polymorph_energy_ev_per_atom": 0.000
}

***

# 7
{
  "formula": "PuZn2Cu",
  "functional": "PBE",
  "state": "relaxed",
  "lattice_angstrom": [[1.3401, 0.7737, 9.7190], [-1.3401, 0.7737, 9.7190], [0.0000, -1.5475, 9.7190]],
  "species": ["Pu", "Zn", "Zn", "Cu"],
  "fractional_positions": [[0.0000, 0.0000, 0.0000], [0.2401, 0.2401, 0.2401], [0.7599, 0.7599, 0.7599], [0.5000, 0.5000, 0.5000]]
}

***

# 8
{
  "formula": "BeOs2Br",
  "functional": "PBE",
  "state": "relaxed",
  "lattice_angstrom": [[2.8428, 0.0000, 0.0000], [0.0000, 3.6233, 0.0000], [-1.3282, 0.0000, 6.3425]],
  "species": ["Be", "Os", "Os", "Br"],
  "fractional_positions": [[0.0000, 0.0000, 0.0000], [0.3666, 0.5000, 0.1674], [0.6334, 0.5000, 0.8326], [0.5000, 0.0000, 0.5000]],
  "e_form_raw_ev_per_fu": 3.464,
  "polymorph_energy_ev_per_atom": 0.323
}

***

Energy per entry: -4.813; -5.027; -4.867; -2.908; -3.165; -2.528; -5.192; -6.099 eV per atom
DOS(E_F) per entry: 1.2975; 1.0620; 0.9118; 0.6734; 0.6900; 0.8162; 0.8821; 0.8917 states/eV/atom